[1]
{
  "formula": "Y5Ag4Hg",
  "functional": "PBE-GGA",
  "state": "relaxed",
  "lattice_angstrom": [[3.6422, 0.0000, 0.0000], [0.0000, 3.6422, 0.0000], [0.0000, 0.0000, 18.3086]],
  "species": ["Y", "Y", "Y", "Y", "Y", "Ag", "Ag", "Ag", "Ag", "Hg"],
  "fractional_positions": [[0.0000, 0.0000, 0.0000], [0.0000, 0.0000, 0.1989], [0.0000, 0.0000, 0.3968], [0.0000, 0.0000, 0.6032], [0.0000, 0.0000, 0.8011], [0.5000, 0.5000, 0.0991], [0.5000, 0.5000, 0.2977], [0.5000, 0.5000, 0.7023], [0.5000, 0.5000, 0.9009], [0.5000, 0.5000, 0.5000]],
  "sg": "P4/mmm, No. 123",
  "total_energy_ev_per_atom": -4.77,
  "vol_a3_per_atom": 24.3
}

[2]
{
  "formula": "YAg2Hg",
  "functional": "PBE-GGA",
  "state": "relaxed",
  "lattice_angstrom": [[0.0000, 3.4878, 3.4878], [3.4878, 0.0000, 3.4878], [3.4878, 3.4878, 0.0000]],
  "species": ["Y", "Ag", "Ag", "Hg"],
  "fractional_positions": [[0.0000, 0.0000, 0.0000], [0.2500, 0.2500, 0.2500], [0.5000, 0.5000, 0.5000], [0.7500, 0.7500, 0.7500]],
  "sg": "F-43m, No. 216",
  "total_energy_ev_per_atom": -3.39,
  "vol_a3_per_atom": 21.2
}